No. 1
## Li2Ni6HN (GGA-PBE)

Data for a relaxed Li2Ni6HN crystal. Values from VASP.

## Properties
Size of the total moment ... 0.000 μB/atom
Space group ... Fm-3m, No. 225
Final energy ... -51.57 eV/cell

Geometry as Quantum ESPRESSO input:
```
&SYSTEM
  ibrav = 0, nat = 10, ntyp = 4
/
ATOMIC_SPECIES
Ni 58.69 Ni.upf
H 1.01 H.upf
Li 6.94 Li.upf
N 14.01 N.upf
ATOMIC_POSITIONS angstrom
Ni 3.8445 3.8470 0.0018
H 0.0005 0.0033 3.6467
Li 2.5765 0.0040 1.8231
N 2.5789 -2.5752 3.6462
Ni -1.2666 -1.2639 3.6443
Ni 1.2679 -1.2643 3.6460
Ni -1.2671 1.2707 3.6459
Ni -0.0024 0.0002 1.8543
Li 0.0013 2.5791 1.8230
Ni 2.5802 2.5829 1.7921
CELL_PARAMETERS angstrom
5.1558 -0.0011 0.0011
-0.0011 5.1558 0.0009
-2.5769 -2.5768 3.6458
```


No. 2
## AlGa2Pd (GGA-PBE)

Data for a relaxed AlGa2Pd crystal. Values from VASP.

## Properties
Size of the total moment ... 0.000 μB/atom
Formation energy ... -0.13 eV/atom
Space group ... I-42d, No. 122
Final energy ... -31.01 eV/cell

Geometry as Quantum ESPRESSO input:
```
&SYSTEM
  ibrav = 0, nat = 8, ntyp = 3
/
ATOMIC_SPECIES
Pd 106.42 Pd.upf
Ga 69.72 Ga.upf
Al 26.98 Al.upf
ATOMIC_POSITIONS angstrom
Pd 0.0000 0.0000 0.0000
Ga -3.9752 -3.3777 -3.9856
Ga 0.0204 -6.0671 -0.2476
Ga -3.7393 -6.8211 -2.5758
Al -1.4499 -8.5602 -1.3878
Ga -5.0676 -12.2327 -5.0495
Pd -4.9310 -5.6891 -4.5414
Al -1.5287 -4.6403 -2.5371
CELL_PARAMETERS angstrom
-5.0098 -1.7692 -5.6907
1.9523 -7.5113 0.6165
-3.3234 -4.9687 -0.8551
```


No. 3
## Nd12Tl6C (GGA-PBE)

Data for a relaxed Nd12Tl6C crystal. Values from VASP.

## Properties
Size of the total moment ... 0.000 μB/atom
Formation energy ... -0.20 eV/atom
Space group ... R-3, No. 148
Final energy ... -84.52 eV/cell

Geometry as Quantum ESPRESSO input:
```
&SYSTEM
  ibrav = 0, nat = 19, ntyp = 3
/
ATOMIC_SPECIES
Nd 144.24 Nd.upf
Tl 204.38 Tl.upf
C 12.01 C.upf
ATOMIC_POSITIONS angstrom
Nd 5.7790 4.5850 4.3414
Nd 3.9398 1.3094 3.7517
Nd 7.8896 0.5521 2.7844
Tl 5.8145 3.0205 1.5786
Tl 2.1041 0.4443 6.3875
Tl 6.3558 1.6440 5.7848
Nd 1.4143 8.1988 1.0407
C 0.0000 0.0000 0.0000
Tl 0.1202 5.9010 3.2540
Tl 0.6615 4.5245 7.4602
Nd 7.1264 6.2139 0.7859
Nd 0.6970 2.9600 4.6973
Nd 2.8201 4.4184 1.9587
Nd 2.5362 6.2356 5.2870
Nd 3.6559 3.1266 7.0800
Nd -0.6504 1.3311 8.2528
Tl 4.3719 7.1007 2.6513
Nd 5.0617 -0.6538 7.9980
Nd -1.4136 6.9929 6.2543
CELL_PARAMETERS angstrom
8.5173 0.2738 0.3280
-1.0206 8.4604 0.3280
-1.0206 -1.1891 8.3828
```


No. 4
## SrZn2Ir (GGA-PBE)

Data for a relaxed SrZn2Ir crystal. Values from VASP.

## Properties
Size of the total moment ... 0.000 μB/atom
Formation energy ... 0.17 eV/atom
Space group ... P4/mmm, No. 123
Final energy ... -12.43 eV/cell

Geometry as Quantum ESPRESSO input:
```
&SYSTEM
  ibrav = 0, nat = 4, ntyp = 3
/
ATOMIC_SPECIES
Zn 65.41 Zn.upf
Sr 87.62 Sr.upf
Ir 192.22 Ir.upf
ATOMIC_POSITIONS angstrom
Zn 0.0000 0.0000 0.0000
Sr 0.0000 2.1182 2.2065
Ir 2.1202 0.0000 2.2065
Zn 2.1202 2.1182 0.0000
CELL_PARAMETERS angstrom
4.2404 0.0000 0.0000
0.0000 4.2365 0.0000
0.0000 0.0000 4.4131
```